Entry w
## Pm2HoSc (PBE)

Data for a relaxed structure of Pm2HoSc.

The value obtained for the volume is 123.80 Å³ per cell. The symmetry is No. 160. The size of the total moment is 0.00 μB/f.u.

a = 3.549 Å, b = 3.549 Å, c = 11.533 Å
α = 81.15°, β = 81.15°, γ = 60.00°
Atoms (fractional coordinates):
Pm: 0.081 0.081 0.757
Pm: 0.253 0.253 0.242
Ho: 0.500 0.500 0.501
Sc: 0.667 0.667 0.999



Entry x
## Pm2HoSc (PBE)

Data for a relaxed structure of Pm2HoSc.

The value obtained for the volume is 123.19 Å³ per cell. The symmetry is No. 123. The size of the total moment is 0.00 μB/f.u.

a = 4.897 Å, b = 5.016 Å, c = 5.016 Å
α = 90.00°, β = 90.00°, γ = 90.00°
Atoms (fractional coordinates):
Sc: 0.500 0.500 0.500
Ho: 0.500 0.000 0.000
Pm: 0.000 0.000 0.500
Pm: 0.000 0.500 0.000



entry x is preferred energetically. Next in line: 12 meV/atom higher.



Entry w
## Pm6HoSc3 (PBE)

Data for a relaxed structure of Pm6HoSc3.

The value obtained for the volume is 316.68 Å³ per cell. The symmetry is No. 146. The size of the total moment is 0.66 μB/f.u.

a = 9.728 Å, b = 9.728 Å, c = 6.817 Å
α = 44.48°, β = 44.48°, γ = 60.00°
Last column: magnetic moment on the atom in μB.
Atoms (fractional coordinates):
Pm: 0.900 0.563 0.299  0.01
Pm: 0.238 0.900 0.299  0.01
Pm: 0.563 0.238 0.299  0.01
Pm: 0.066 0.400 0.799  0.01
Pm: 0.735 0.066 0.799  0.01
Pm: 0.400 0.735 0.799  0.01
Ho: 0.900 0.900 0.301  0.06
Sc: 0.399 0.399 0.802  0.13
Sc: 0.641 0.641 0.076  0.10
Sc: 0.158 0.158 0.527  0.10



Entry x
## Pm6HoSc3 (PBE)

Data for a relaxed structure of Pm6HoSc3.

The value obtained for the volume is 625.47 Å³ per cell. The symmetry is No. 36. The size of the total moment is 0.00 μB/f.u.

a = 6.302 Å, b = 11.448 Å, c = 11.448 Å
α = 130.77°, β = 90.00°, γ = 90.00°
Atoms (fractional coordinates):
Pm: 0.085 0.736 0.621
Pm: 0.585 0.621 0.736
Pm: 0.321 0.457 0.895
Pm: 0.821 0.895 0.457
Pm: 0.273 0.985 0.015
Pm: 0.803 0.302 0.698
Pm: 0.303 0.698 0.302
Pm: 0.773 0.015 0.985
Pm: 0.321 0.105 0.543
Pm: 0.821 0.543 0.105
Pm: 0.085 0.379 0.264
Pm: 0.585 0.264 0.379
Ho: 0.015 0.153 0.847
Ho: 0.515 0.847 0.153
Sc: 0.489 0.959 0.706
Sc: 0.989 0.706 0.959
Sc: 0.103 0.417 0.583
Sc: 0.603 0.583 0.417
Sc: 0.989 0.041 0.294
Sc: 0.489 0.294 0.041



entry x is preferred energetically. Next in line: 40 meV/atom higher.



Entry w
## Pm6Ho3Sc (PBE)

Data for a relaxed structure of Pm6Ho3Sc.

The value obtained for the volume is 656.76 Å³ per cell. The symmetry is No. 36. The size of the total moment is 0.00 μB/f.u.

a = 6.219 Å, b = 11.055 Å, c = 11.055 Å
α = 120.22°, β = 90.00°, γ = 90.00°
Atoms (fractional coordinates):
Pm: 0.042 0.711 0.621
Pm: 0.542 0.621 0.711
Pm: 0.353 0.521 0.945
Pm: 0.853 0.945 0.521
Pm: 0.425 0.955 0.045
Pm: 0.652 0.276 0.724
Pm: 0.152 0.724 0.276
Pm: 0.925 0.045 0.955
Pm: 0.353 0.055 0.479
Pm: 0.853 0.479 0.055
Pm: 0.042 0.379 0.289
Pm: 0.542 0.289 0.379
Ho: 0.463 0.947 0.725
Ho: 0.963 0.725 0.947
Ho: 0.071 0.386 0.614
Ho: 0.571 0.614 0.386
Ho: 0.963 0.053 0.275
Ho: 0.463 0.275 0.053
Sc: 0.123 0.201 0.799
Sc: 0.623 0.799 0.201



Entry x
## Pm6Ho3Sc (PBE)

Data for a relaxed structure of Pm6Ho3Sc.

The value obtained for the volume is 332.09 Å³ per cell. The symmetry is No. 148. The size of the total moment is 0.03 μB/f.u.

a = 9.841 Å, b = 9.841 Å, c = 6.925 Å
α = 44.72°, β = 44.72°, γ = 60.00°
Atoms (fractional coordinates):
Pm: 0.932 0.605 0.201
Pm: 0.262 0.932 0.201
Pm: 0.605 0.262 0.201
Pm: 0.096 0.438 0.699
Pm: 0.768 0.096 0.699
Pm: 0.438 0.768 0.699
Ho: 0.350 0.350 0.950
Ho: 0.604 0.604 0.187
Ho: 0.096 0.096 0.713
Sc: 0.850 0.850 0.450



entry w is preferred energetically. Next in line: 80 meV/atom higher.



Entry w
## PmHo7Sc3 (PBE)

Data for a relaxed structure of PmHo7Sc3.

The value obtained for the volume is 343.37 Å³ per cell. The symmetry is No. 156. The size of the total moment is 0.03 μB/f.u.

a = 8.234 Å, b = 6.939 Å, c = 6.939 Å
α = 120.00°, β = 90.00°, γ = 90.00°
Atoms (fractional coordinates):
Pm: 0.448 0.333 0.667
Ho: 0.106 0.168 0.832
Ho: 0.106 0.168 0.336
Ho: 0.116 0.667 0.333
Ho: 0.460 0.832 0.168
Ho: 0.460 0.336 0.168
Ho: 0.460 0.832 0.664
Ho: 0.106 0.664 0.832
Sc: 0.784 0.501 0.499
Sc: 0.784 0.501 0.002
Sc: 0.784 0.998 0.499



Entry x
## PmHo7Sc3 (PBE)

Data for a relaxed structure of PmHo7Sc3.

The value obtained for the volume is 659.51 Å³ per cell. The symmetry is No. 12. The size of the total moment is 0.00 μB/f.u.

a = 9.611 Å, b = 9.611 Å, c = 12.897 Å
α = 79.39°, β = 79.39°, γ = 139.28°
Atoms (fractional coordinates):
Pm: 0.500 0.500 0.000
Pm: 0.500 0.500 0.500
Ho: 0.095 0.912 0.250
Ho: 0.088 0.905 0.750
Ho: 0.122 0.448 0.463
Ho: 0.123 0.449 0.963
Ho: 0.551 0.877 0.037
Ho: 0.552 0.878 0.537
Ho: 0.495 0.495 0.751
Ho: 0.505 0.505 0.249
Ho: 0.449 0.123 0.963
Ho: 0.448 0.122 0.463
Ho: 0.877 0.551 0.037
Ho: 0.878 0.552 0.537
Ho: 0.912 0.095 0.250
Ho: 0.905 0.088 0.750
Sc: 0.000 0.498 0.750
Sc: 0.000 0.000 0.000
Sc: 0.000 0.000 0.500
Sc: 0.502 0.000 0.250
Sc: 0.498 0.000 0.750
Sc: 0.000 0.502 0.250



entry x is preferred energetically. Next in line: 65 meV/atom higher.



Entry w
## Pm2Ho7Sc2 (PBE)

Data for a relaxed structure of Pm2Ho7Sc2.

The value obtained for the volume is 354.27 Å³ per cell. The symmetry is No. 65. The size of the total moment is 0.00 μB/f.u.

a = 6.730 Å, b = 9.299 Å, c = 6.730 Å
α = 90.00°, β = 122.74°, γ = 90.00°
Atoms (fractional coordinates):
Pm: 0.752 0.500 0.752
Pm: 0.248 0.500 0.248
Ho: 0.000 0.307 0.500
Ho: 0.500 0.693 0.000
Ho: 0.000 0.693 0.500
Ho: 0.500 0.307 0.000
Ho: 0.000 0.000 0.000
Ho: 0.500 0.821 0.500
Ho: 0.500 0.179 0.500
Sc: 0.729 0.000 0.271
Sc: 0.271 0.000 0.729



Entry x
## Pm2Ho7Sc2 (PBE)

Data for a relaxed structure of Pm2Ho7Sc2.

The value obtained for the volume is 341.90 Å³ per cell. The symmetry is No. 12. The size of the total moment is 0.00 μB/f.u.

a = 6.499 Å, b = 8.434 Å, c = 6.499 Å
α = 79.14°, β = 86.55°, γ = 100.86°
Atoms (fractional coordinates):
Pm: 0.684 0.000 0.684
Pm: 0.316 0.000 0.316
Ho: 0.893 0.683 0.472
Ho: 0.528 0.683 0.107
Ho: 0.160 0.918 0.840
Ho: 0.000 0.500 0.000
Ho: 0.840 0.082 0.160
Ho: 0.107 0.317 0.528
Ho: 0.472 0.317 0.893
Sc: 0.382 0.661 0.618
Sc: 0.618 0.339 0.382



entry x is preferred energetically. Next in line: 236 meV/atom higher.



Entry w
## Pm2Ho6Sc (PBE)

Data for a relaxed structure of Pm2Ho6Sc.

The value obtained for the volume is 557.89 Å³ per cell. The symmetry is No. 15. The size of the total moment is 0.00 μB/f.u.

a = 6.032 Å, b = 9.941 Å, c = 9.941 Å
α = 70.48°, β = 84.47°, γ = 84.47°
Atoms (fractional coordinates):
Pm: 0.436 0.569 0.774
Pm: 0.064 0.226 0.431
Pm: 0.564 0.431 0.226
Pm: 0.936 0.774 0.569
Ho: 0.489 0.691 0.407
Ho: 0.011 0.593 0.309
Ho: 0.511 0.309 0.593
Ho: 0.989 0.407 0.691
Ho: 0.638 0.067 0.342
Ho: 0.862 0.658 0.933
Ho: 0.362 0.933 0.658
Ho: 0.138 0.342 0.067
Ho: 0.327 0.758 0.025
Ho: 0.173 0.975 0.242
Ho: 0.673 0.242 0.975
Ho: 0.827 0.025 0.758
Sc: 0.250 0.103 0.897
Sc: 0.750 0.897 0.103



Entry x
## Pm2Ho6Sc (PBE)

Data for a relaxed structure of Pm2Ho6Sc.

The value obtained for the volume is 277.30 Å³ per cell. The symmetry is No. 65. The size of the total moment is 0.00 μB/f.u.

a = 3.430 Å, b = 9.652 Å, c = 10.260 Å
α = 118.06°, β = 70.44°, γ = 90.00°
Atoms (fractional coordinates):
Pm: 0.333 0.333 0.667
Pm: 0.667 0.667 0.333
Ho: 0.828 0.000 0.672
Ho: 0.172 0.328 0.328
Ho: 0.172 0.000 0.328
Ho: 0.500 0.329 0.000
Ho: 0.828 0.672 0.672
Ho: 0.500 0.671 0.000
Sc: 0.000 0.000 0.000



entry x is preferred energetically. Next in line: 7 meV/atom higher.



Entry w
## PmHoSc2 (PBE)

Data for a relaxed structure of PmHoSc2.

The value obtained for the volume is 464.23 Å³ per cell. The symmetry is No. 14. The size of the total moment is 0.00 μB/f.u.

a = 8.629 Å, b = 8.077 Å, c = 6.661 Å
α = 90.00°, β = 90.02°, γ = 90.00°
Atoms (fractional coordinates):
Pm: 0.182 0.467 0.127
Pm: 0.318 0.967 0.873
Pm: 0.682 0.033 0.127
Pm: 0.818 0.533 0.873
Ho: 0.681 0.020 0.625
Ho: 0.181 0.480 0.625
Ho: 0.319 0.980 0.375
Ho: 0.819 0.520 0.375
Sc: 0.509 0.667 0.129
Sc: 0.009 0.833 0.129
Sc: 0.993 0.166 0.381
Sc: 0.991 0.167 0.871
Sc: 0.007 0.834 0.619
Sc: 0.507 0.666 0.619
Sc: 0.491 0.333 0.871
Sc: 0.493 0.334 0.381



Entry x
## PmHoSc2 (PBE)

Data for a relaxed structure of PmHoSc2.

The value obtained for the volume is 112.74 Å³ per cell. The symmetry is No. 166. The size of the total moment is 0.00 μB/f.u.

a = 3.442 Å, b = 3.442 Å, c = 11.165 Å
α = 81.13°, β = 81.13°, γ = 60.00°
Atoms (fractional coordinates):
Sc: 0.751 0.751 0.747
Sc: 0.249 0.249 0.253
Ho: 0.500 0.500 0.500
Pm: 0.000 0.000 0.000



entry x is preferred energetically. Next in line: 111 meV/atom higher.



Entry w
## PmHoSc2 (PBE)

Data for a relaxed structure of PmHoSc2.

The value obtained for the volume is 113.29 Å³ per cell. The symmetry is No. 123. The size of the total moment is 0.00 μB/f.u.

a = 4.663 Å, b = 4.929 Å, c = 4.929 Å
α = 90.00°, β = 90.00°, γ = 90.00°
Atoms (fractional coordinates):
Sc: 0.000 0.000 0.500
Sc: 0.000 0.500 0.000
Ho: 0.500 0.500 0.500
Pm: 0.500 0.000 0.000



Entry x
## PmHoSc2 (PBE)

Data for a relaxed structure of PmHoSc2.

The value obtained for the volume is 113.61 Å³ per cell. The symmetry is No. 225. The size of the total moment is 0.00 μB/f.u.

a = 5.436 Å, b = 5.436 Å, c = 5.436 Å
α = 60.00°, β = 60.00°, γ = 60.00°
Atoms (fractional coordinates):
Sc: 0.250 0.250 0.250
Sc: 0.750 0.750 0.750
Ho: 0.000 0.000 0.000
Pm: 0.500 0.500 0.500



entry w is preferred energetically. Next in line: 28 meV/atom higher.